1.
VASP calculation (GGA-PBE) on a geometry-optimized HPdRhAu2 structure.

abc: 4.4780 4.4780 3.4548
angles: 90.00 90.00 90.00
Atoms (fractional coordinates):
Rh 0.0000 0.0000 0.5000
Au 0.0000 0.5000 0.0000
Au 0.5000 0.0000 0.0000
Pd 0.5000 0.5000 0.5000
H 0.0000 0.0000 0.0000

Output
symmetry: P4/mmm



2.
VASP calculation (GGA-PBE) on a geometry-optimized HPd2RhAu structure.

abc: 4.0697 4.0697 3.9402
angles: 90.00 90.00 90.00
Atoms (fractional coordinates):
Rh 0.0000 0.0000 0.5000
Au 0.5000 0.5000 0.5000
Pd 0.0000 0.5000 0.0000
Pd 0.5000 0.0000 0.0000
H 0.0000 0.0000 0.0000

Output
symmetry: P4/mmm



3.
VASP calculation (GGA-PBE) on a geometry-optimized HPd2RhAu structure.

abc: 5.0385 4.9329 5.0385
angles: 90.00 90.00 90.00
Atoms (fractional coordinates):
Rh 0.0000 0.5000 0.0000
Au 0.0000 0.0000 0.0000
Pd 0.0000 0.0000 0.5000
Pd 0.5000 0.0000 0.0000
H 0.5000 0.5000 0.5000

Output
symmetry: P4/mmm



no.,magnetization (μB/f.u.),V (Å³/cell),total energy (eV/f.u.)
1,0.000,69,-21.8
2,0.001,65,-24.2
3,2.073,125,-15.8